A relaxed Ba2CoPtO6 crystal. Source: Alexandria via LeMat-Bulk, functional GGA+U.

Summary:
* VASP energy: -6.0496 eV/atom
* magnetization: 0.10 μB per atom

abc: 5.7366 5.7366 5.2085
angles: 90.00 90.00 120.00
Fractional coordinates of all 10 atoms:
1 Ba 0.3333 0.6667 0.2829
2 Ba 0.6667 0.3333 0.7171
3 Co 0.0000 0.0000 0.5000
4 Pt 0.0000 0.0000 0.0000
5 O 0.1492 0.2985 0.7330
6 O 0.1492 0.8508 0.7330
7 O 0.2985 0.1492 0.2670
8 O 0.7015 0.8508 0.7330
9 O 0.8508 0.1492 0.2670
10 O 0.8508 0.7015 0.2670